No. 1
Crystalline BiBr4N2 at its relaxed geometry, computed with PBE.

```
BiBr4N2
1.0
4.017 0.000 -0.672
-0.129 6.957 -0.769
-0.718 0.236 8.055
Bi Br N
1 4 2
Direct
0.000 0.000 0.000
0.619 0.148 0.238
0.922 0.369 0.845
0.381 0.852 0.762
0.078 0.631 0.155
0.302 0.263 0.604
0.698 0.737 0.396
```

Output
Space group: No. 12
Theoretical density: 4.2 g cm⁻³
Raw formation energy: 108.3 kJ/mol of atoms
Density of states at the Fermi level: 1.43 states/eV per cell
Total magnetic moment: 5.0 Bohr magnetons per cell
E: -2.767 eV/atom


No. 2
Crystalline BaPu2TlO8 at its relaxed geometry, computed with PBE.

```
BaPu2TlO8
1.0
-4.147 0.595 3.851
-1.984 -5.162 -1.339
6.202 0.116 2.457
O Ba Tl Pu
8 1 1 2
Direct
0.434 0.881 0.290
0.883 0.785 0.224
0.855 0.409 0.290
0.561 0.117 0.776
0.591 0.566 0.710
0.119 0.145 0.710
0.341 0.439 0.224
0.215 0.659 0.776
0.000 0.000 0.000
0.750 0.250 0.500
0.250 0.750 0.500
0.500 0.500 0.000
```

Output
Space group: No. 82
Theoretical density: 9.2 g cm⁻³
Raw formation energy: -202.0 kJ/mol of atoms
Density of states at the Fermi level: 9.00 states/eV per cell
Total magnetic moment: 5.0 Bohr magnetons per cell
E: -8.145 eV/atom


No. 3
Crystalline Hf3ScC at its relaxed geometry, computed with PBE.

```
Hf3ScC
1.0
4.582 0.000 0.000
0.000 4.582 0.000
0.000 0.000 4.582
Hf C Sc
3 1 1
Direct
0.000 0.000 0.500
0.000 0.500 0.000
0.500 0.000 0.000
0.000 0.000 0.000
0.500 0.500 0.500
```

Output
Space group: No. 221
Theoretical density: 10.2 g cm⁻³
Formation energy from the elements: -0.26 eV per atom
Density of states at the Fermi level: 4.41 states/eV per cell
Total magnetic moment: 0.0 Bohr magnetons per cell
Distance to the lowest polymorph of the same formula: 0 meV/atom
E: -9.342 eV/atom


No. 4
Crystalline Tb12SmHo3 at its relaxed geometry, computed with PBE.

```
Tb12SmHo3
1.0
-2.701 -4.010 -1.392
4.224 -2.703 -0.409
-1.688 -5.548 19.255
Tb Sm Ho
12 1 3
Direct
0.500 0.000 0.126
0.500 0.500 0.749
0.500 0.000 0.625
0.000 0.500 0.375
0.500 0.000 0.874
0.500 0.000 0.375
0.000 0.500 0.126
0.500 0.500 0.000
0.500 0.500 0.500
0.500 0.500 0.251
0.000 0.500 0.625
0.000 0.500 0.874
0.000 0.000 0.000
0.000 0.000 0.251
0.000 0.000 0.500
0.000 0.000 0.749
```

Output
Space group: No. 123
Theoretical density: 8.3 g cm⁻³
Formation energy from the elements: 0.02 eV per atom
Density of states at the Fermi level: 21.43 states/eV per cell
Total magnetic moment: 0.0 Bohr magnetons per cell
E: -4.609 eV/atom


No. 5
Crystalline TbCuSi2Pd5 at its relaxed geometry, computed with PBE.

```
TbCuSi2Pd5
1.0
4.606 0.000 0.000
0.000 4.606 0.000
0.000 0.000 7.165
Si Pd Cu Tb
2 5 1 1
Direct
0.500 0.500 0.843
0.500 0.500 0.157
0.500 0.500 0.500
0.000 0.500 0.765
0.500 0.000 0.765
0.000 0.500 0.235
0.500 0.000 0.235
0.000 0.000 0.000
0.000 0.000 0.500
```

Output
Space group: No. 123
Theoretical density: 8.9 g cm⁻³
Raw formation energy: -48.9 kJ/mol of atoms
Density of states at the Fermi level: 4.34 states/eV per cell
Total magnetic moment: 0.0 Bohr magnetons per cell
E: -5.567 eV/atom


No. 6
Crystalline KIn12Pd6 at its relaxed geometry, computed with PBE.

```
KIn12Pd6
1.0
-7.082 3.413 1.128
-0.053 -6.433 4.657
5.223 4.939 3.377
Pd In K
6 12 1
Direct
0.271 0.694 0.271
0.729 0.729 0.306
0.729 0.306 0.729
0.694 0.271 0.271
0.306 0.729 0.729
0.271 0.271 0.694
0.119 0.881 0.500
0.584 0.584 0.845
0.881 0.500 0.119
0.881 0.119 0.500
0.119 0.500 0.881
0.155 0.416 0.416
0.584 0.845 0.584
0.416 0.416 0.155
0.500 0.119 0.881
0.845 0.584 0.584
0.500 0.881 0.119
0.416 0.155 0.416
0.000 0.000 0.000
```

Output
Space group: No. 166
Theoretical density: 7.8 g cm⁻³
Formation energy from the elements: -0.34 eV per atom
Density of states at the Fermi level: 7.19 states/eV per cell
Total magnetic moment: 0.0 Bohr magnetons per cell
E: -3.770 eV/atom


No. 7
Crystalline IrC3 at its relaxed geometry, computed with PBE.

```
IrC3
1.0
-4.156 0.233 0.572
0.638 -1.124 5.096
3.720 4.159 0.451
C Ir
6 2
Direct
0.697 0.301 0.164
0.697 0.199 0.664
0.973 0.000 0.749
0.697 0.699 0.164
0.697 0.801 0.664
0.973 0.500 0.249
0.549 0.500 0.408
0.549 0.000 0.908
```

Output
Space group: No. 8
Theoretical density: 7.7 g cm⁻³
Formation energy from the elements: 1.15 eV per atom
Density of states at the Fermi level: 3.24 states/eV per cell
Total magnetic moment: 0.0 Bohr magnetons per cell
Distance to the lowest polymorph of the same formula: 432 meV/atom
E: -7.984 eV/atom


No. 8
Crystalline LaPrNdY at its relaxed geometry, computed with PBE.

```
LaPrNdY
1.0
5.214 0.000 0.000
0.000 5.214 0.000
-2.607 -2.607 5.180
Nd Y Pr La
1 1 1 1
Direct
0.000 0.000 0.000
0.250 0.750 0.500
0.750 0.250 0.500
0.500 0.500 0.000
```

Output
Space group: No. 119
Theoretical density: 6.0 g cm⁻³
Formation energy from the elements: 0.02 eV per atom
Density of states at the Fermi level: 6.57 states/eV per cell
Total magnetic moment: 0.0 Bohr magnetons per cell
E: -5.217 eV/atom


No. 9
Crystalline BeAs2N at its relaxed geometry, computed with PBE.

```
BeAs2N
1.0
-4.447 0.403 2.048
-1.751 -3.343 -3.145
-1.930 -5.153 2.715
As N Be
4 2 2
Direct
0.375 0.358 0.750
0.875 0.892 0.750
0.642 0.125 0.250
0.108 0.625 0.250
0.750 0.250 0.500
0.000 0.000 0.000
0.250 0.750 0.500
0.500 0.500 0.000
```

Output
Space group: No. 122
Theoretical density: 4.7 g cm⁻³
Raw formation energy: 44.1 kJ/mol of atoms
Density of states at the Fermi level: 5.07 states/eV per cell
Total magnetic moment: 0.0 Bohr magnetons per cell
Distance to the lowest polymorph of the same formula: 0 meV/atom
E: -4.880 eV/atom


No. 10
Crystalline LaY4Hg5 at its relaxed geometry, computed with PBE.

```
LaY4Hg5
1.0
-1.154 -0.751 -3.484
3.404 -1.317 -0.844
-5.352 -17.375 5.518
Hg La Y
5 1 4
Direct
0.500 0.500 0.887
0.500 0.500 0.305
0.500 0.500 0.500
0.500 0.500 0.113
0.500 0.500 0.695
0.000 0.000 0.000
0.000 0.000 0.793
0.000 0.000 0.403
0.000 0.000 0.207
0.000 0.000 0.597
```

Output
Space group: No. 123
Theoretical density: 9.3 g cm⁻³
Formation energy from the elements: -0.51 eV per atom
Density of states at the Fermi level: 9.38 states/eV per cell
Total magnetic moment: 0.6 Bohr magnetons per cell
E: -3.736 eV/atom


No. 11
Crystalline K2ZnF5 at its relaxed geometry, computed with PBE.

```
K2ZnF5
1.0
6.164 -0.001 0.000
-0.001 6.164 0.000
-3.082 -3.082 3.763
F Zn K
5 1 2
Direct
0.803 0.236 0.039
0.236 0.803 0.039
0.720 0.720 0.439
0.803 0.803 0.039
0.236 0.236 0.039
0.978 0.978 0.955
0.251 0.751 0.501
0.751 0.251 0.501
```

Output
Space group: No. 107
Theoretical density: 2.8 g cm⁻³
Raw formation energy: -218.6 kJ/mol of atoms
Density of states at the Fermi level: 1.87 states/eV per cell
Total magnetic moment: 1.0 Bohr magnetons per cell
E: -3.869 eV/atom


No. 12
Crystalline TmZn6GaAg at its relaxed geometry, computed with PBE.

```
TmZn6GaAg
1.0
5.345 0.000 0.000
0.000 9.673 0.000
-2.672 -4.837 7.014
Zn Ag Tm Ga
12 2 2 2
Direct
0.911 0.674 0.312
0.598 0.326 0.688
0.911 0.138 0.312
0.412 0.662 0.824
0.598 0.862 0.688
0.089 0.326 0.688
0.089 0.862 0.688
0.402 0.138 0.312
0.588 0.338 0.176
0.402 0.674 0.312
0.041 0.791 0.082
0.959 0.209 0.918
0.500 0.000 0.000
0.500 0.500 0.000
0.820 0.570 0.640
0.180 0.430 0.360
0.500 0.000 0.500
0.000 0.000 0.500
```

Output
Space group: No. 74
Theoretical density: 6.8 g cm⁻³
Formation energy from the elements: 0.14 eV per atom
Density of states at the Fermi level: 7.68 states/eV per cell
Total magnetic moment: 0.0 Bohr magnetons per cell
E: -1.859 eV/atom


No. 13
Crystalline BaAcCdGe at its relaxed geometry, computed with PBE.

```
BaAcCdGe
1.0
-1.191 4.019 -3.907
-5.388 0.727 -1.812
-2.924 4.690 1.514
Ac Ge Ba Cd
1 1 1 1
Direct
0.000 0.000 0.000
0.250 0.250 0.250
0.500 0.500 0.500
0.750 0.750 0.750
```

Output
Space group: No. 216
Theoretical density: 6.9 g cm⁻³
Formation energy from the elements: -0.36 eV per atom
Density of states at the Fermi level: 4.74 states/eV per cell
Total magnetic moment: 0.0 Bohr magnetons per cell
E: -3.255 eV/atom


No. 14
Crystalline Ba2CaPa at its relaxed geometry, computed with PBE.

```
Ba2CaPa
1.0
-3.320 -0.018 1.354
-2.441 -2.299 -1.269
2.031 -10.246 9.591
Pa Ca Ba
1 1 2
Direct
0.000 0.000 0.000
0.500 0.500 0.500
0.919 0.919 0.243
0.081 0.081 0.757
```

Output
Space group: No. 166
Theoretical density: 5.8 g cm⁻³
Formation energy from the elements: 0.67 eV per atom
Density of states at the Fermi level: 6.86 states/eV per cell
Total magnetic moment: 0.0 Bohr magnetons per cell
E: -3.164 eV/atom


No. 15
Crystalline CsNa2ZnGe at its relaxed geometry, computed with PBE.

```
CsNa2ZnGe
1.0
-4.993 -1.987 -2.371
-1.709 -1.980 5.259
-2.138 4.279 0.916
Cs Na Ge Zn
1 2 1 1
Direct
0.500 0.500 0.500
0.500 0.000 0.000
0.000 0.500 0.000
0.000 0.000 0.500
0.000 0.000 0.000
```

Output
Space group: No. 123
Theoretical density: 3.1 g cm⁻³
Formation energy from the elements: 0.09 eV per atom
Density of states at the Fermi level: 1.33 states/eV per cell
Total magnetic moment: 0.0 Bohr magnetons per cell
Distance to the lowest polymorph of the same formula: 61 meV/atom
E: -1.790 eV/atom


No. 16
Crystalline Cs4BaTl3I8 at its relaxed geometry, computed with PBE.

```
Cs4BaTl3I8
1.0
10.852 0.000 0.000
0.000 10.464 -0.287
-5.426 -5.422 7.677
Cs I Tl Ba
4 8 3 1
Direct
0.500 0.000 0.000
0.000 0.000 0.000
0.000 0.000 0.500
0.500 0.000 0.500
0.768 0.281 0.013
0.755 0.719 0.987
0.768 0.281 0.536
0.232 0.719 0.464
0.260 0.280 0.520
0.740 0.720 0.480
0.232 0.719 0.987
0.245 0.281 0.013
0.500 0.500 0.500
0.000 0.500 0.500
0.500 0.500 0.000
0.000 0.500 0.000
```

Output
Space group: No. 166
Theoretical density: 4.5 g cm⁻³
Raw formation energy: -113.1 kJ/mol of atoms
Density of states at the Fermi level: 5.24 states/eV per cell
Total magnetic moment: 0.0 Bohr magnetons per cell
E: -2.724 eV/atom


No. 17
Crystalline CaCu2PdAu5 at its relaxed geometry, computed with PBE.

```
CaCu2PdAu5
1.0
-0.919 2.588 3.961
-0.349 -4.061 2.573
7.237 0.313 1.475
Au Pd Ca Cu
5 1 1 2
Direct
0.000 0.500 0.770
0.500 0.000 0.230
0.500 0.000 0.770
0.500 0.500 0.500
0.000 0.500 0.230
0.000 0.000 0.000
0.000 0.000 0.500
0.500 0.500 0.154
0.500 0.500 0.846
```

Output
Space group: No. 123
Theoretical density: 12.2 g cm⁻³
Formation energy from the elements: -0.08 eV per atom
Density of states at the Fermi level: 3.23 states/eV per cell
Total magnetic moment: 0.0 Bohr magnetons per cell
E: -3.606 eV/atom


No. 18
Crystalline KVSe2 at its relaxed geometry, computed with PBE.

```
KVSe2
1.0
-0.221 -0.454 -4.106
3.065 -2.774 0.142
-3.766 -4.127 0.659
V K Se
1 1 2
Direct
0.500 0.500 0.000
0.000 0.000 0.500
0.500 0.500 0.500
0.000 0.000 0.000
```

Output
Space group: No. 123
Theoretical density: 4.3 g cm⁻³
Raw formation energy: -23.5 kJ/mol of atoms
Density of states at the Fermi level: 3.78 states/eV per cell
Total magnetic moment: 2.0 Bohr magnetons per cell
E: -4.540 eV/atom


No. 19
Crystalline DyHo2Pt9 at its relaxed geometry, computed with PBE.

```
DyHo2Pt9
1.0
4.113 0.000 0.000
0.000 4.113 0.000
0.000 0.000 12.337
Pt Ho Dy
9 2 1
Direct
0.500 0.000 0.500
0.500 0.500 0.000
0.500 0.500 0.334
0.000 0.500 0.167
0.000 0.500 0.500
0.500 0.000 0.167
0.500 0.500 0.666
0.500 0.000 0.833
0.000 0.500 0.833
0.000 0.000 0.334
0.000 0.000 0.666
0.000 0.000 0.000
```

Output
Space group: No. 123
Theoretical density: 17.9 g cm⁻³
Formation energy from the elements: -1.05 eV per atom
Density of states at the Fermi level: 11.42 states/eV per cell
Total magnetic moment: 0.0 Bohr magnetons per cell
E: -6.727 eV/atom


No. 20
Crystalline Ce2PrTeO8 at its relaxed geometry, computed with PBE.

```
Ce2PrTeO8
1.0
-3.593 -1.116 -1.345
-0.405 -3.065 4.478
-3.159 5.762 3.658
O Te Ce Pr
8 1 2 1
Direct
0.541 0.770 0.000
0.027 0.753 0.778
0.501 0.263 0.500
0.499 0.737 0.500
0.973 0.247 0.222
0.459 0.230 0.000
0.973 0.247 0.778
0.027 0.753 0.222
0.000 0.000 0.000
0.500 0.500 0.247
0.500 0.500 0.753
0.000 0.000 0.500
```

Output
Space group: No. 10
Theoretical density: 6.9 g cm⁻³
Raw formation energy: -251.8 kJ/mol of atoms
Density of states at the Fermi level: 3.19 states/eV per cell
Total magnetic moment: 0.0 Bohr magnetons per cell
E: -7.564 eV/atom


No. 21
Crystalline Dy3Ho2Al2 at its relaxed geometry, computed with PBE.

```
Dy3Ho2Al2
1.0
-2.643 -1.904 1.078
-0.814 -0.721 -3.268
8.236 -13.945 1.025
Dy Al Ho
3 2 2
Direct
0.123 0.000 0.754
0.877 0.000 0.246
0.000 0.000 0.000
0.438 0.500 0.124
0.562 0.500 0.876
0.703 0.500 0.594
0.297 0.500 0.406
```

Output
Space group: No. 65
Theoretical density: 7.6 g cm⁻³
Formation energy from the elements: -0.15 eV per atom
Density of states at the Fermi level: 6.67 states/eV per cell
Total magnetic moment: 0.0 Bohr magnetons per cell
Distance to the lowest polymorph of the same formula: 53 meV/atom
E: -4.499 eV/atom


No. 22
Crystalline Pr3DySc2Se6 at its relaxed geometry, computed with PBE.

```
Pr3DySc2Se6
1.0
-1.059 6.925 -0.479
-1.534 -3.403 5.947
7.265 -0.044 0.466
Pr Se Sc Dy
3 6 2 1
Direct
0.500 0.500 0.500
0.162 0.838 0.500
0.838 0.162 0.500
0.926 0.582 0.776
0.418 0.074 0.224
0.270 0.270 0.780
0.582 0.926 0.776
0.074 0.418 0.224
0.730 0.730 0.220
0.334 0.666 0.000
0.666 0.334 0.000
0.000 0.000 0.000
```

Output
Space group: No. 12
Theoretical density: 6.5 g cm⁻³
Raw formation energy: -167.5 kJ/mol of atoms
Density of states at the Fermi level: 5.62 states/eV per cell
Total magnetic moment: 0.0 Bohr magnetons per cell
E: -6.112 eV/atom


No. 23
Crystalline SrMg6In2 at its relaxed geometry, computed with PBE.

```
SrMg6In2
1.0
-3.218 -1.015 -3.225
-1.325 -3.717 2.492
-7.210 6.105 5.272
Mg Sr In
6 1 2
Direct
0.500 0.000 0.300
0.500 0.000 0.700
0.000 0.000 0.500
0.500 0.500 0.500
0.000 0.500 0.300
0.000 0.500 0.700
0.000 0.000 0.000
0.500 0.500 0.867
0.500 0.500 0.133
```

Output
Space group: No. 123
Theoretical density: 3.3 g cm⁻³
Formation energy from the elements: -0.14 eV per atom
Density of states at the Fermi level: 4.97 states/eV per cell
Total magnetic moment: 0.0 Bohr magnetons per cell
E: -1.999 eV/atom